Entry 1:
The following is a DFT calculation (GGA-PBE) of crystalline CdTePbO at its relaxed geometry.

Calculated values
SG = No. 129
E above lowest polymorph = 485 meV per atom

abc: 4.1054 4.1054 12.3729
angles: 90.00 90.00 90.00
Fractional positions:
Cd 0.7500 0.7500 0.1032
Cd 0.2500 0.2500 0.8968
O 0.2500 0.2500 0.0689
O 0.7500 0.7500 0.9311
Pb 0.2500 0.2500 0.2441
Pb 0.7500 0.7500 0.7559
Te 0.7500 0.2500 0.5000
Te 0.2500 0.7500 0.5000

Entry 2:
The following is a DFT calculation (GGA-PBE) of crystalline AlFeCuS4 at its relaxed geometry.

Calculated values
SG = No. 91
DFT total energy = -145.8 eV for the cell shown

abc: 6.8933 6.8933 9.6792
angles: 90.00 90.00 90.00
Fractional positions:
Al 0.5000 0.2511 0.0000
Al 0.7489 0.5000 0.2500
Al 0.5000 0.7489 0.5000
Al 0.2511 0.5000 0.7500
Cu 0.2487 0.7513 0.1250
Cu 0.2487 0.2487 0.3750
Cu 0.7513 0.2487 0.6250
Cu 0.7513 0.7513 0.8750
Fe 0.0000 0.2363 0.0000
Fe 0.7637 0.0000 0.2500
Fe 0.0000 0.7637 0.5000
Fe 0.2363 0.0000 0.7500
S 0.7613 0.4765 0.0034
S 0.7576 0.0139 0.0128
S 0.9861 0.2424 0.2372
S 0.5235 0.2387 0.2466
S 0.5235 0.7613 0.2534
S 0.9861 0.7576 0.2628
S 0.7576 0.9861 0.4872
S 0.7613 0.5235 0.4966
S 0.2387 0.5235 0.5034
S 0.2424 0.9861 0.5128
S 0.0139 0.7576 0.7372
S 0.4765 0.7613 0.7466
S 0.4765 0.2387 0.7534
S 0.0139 0.2424 0.7628
S 0.2424 0.0139 0.9872
S 0.2387 0.4765 0.9966

Entry 3:
The following is a DFT calculation (GGA-PBE) of crystalline Zn3Au at its relaxed geometry.

Calculated values
SG = No. 63
energy relative to the elements = -0.1377 eV per atom

abc: 5.5557 5.7152 4.4604
angles: 90.00 90.00 119.08
Fractional positions:
Au 0.0153 0.5307 0.0000
Au 0.8180 0.1360 0.5000
Zn 0.0097 0.0096 0.0000
Zn 0.5000 0.0096 0.0000
Zn 0.4962 0.4924 0.0000
Zn 0.3372 0.1743 0.5000
Zn 0.3334 0.6570 0.5000
Zn 0.8237 0.6570 0.5000

Entry 4:
The following is a DFT calculation (GGA-PBE) of crystalline GdNbTe at its relaxed geometry.

Calculated values
SG = No. 216
E above lowest polymorph = 0 meV per atom

abc: 4.8202 4.8202 4.8202
angles: 60.00 60.00 60.00
Fractional positions:
Gd 0.2500 0.2500 0.2500
Nb 0.7500 0.7500 0.7500
Te 0.0000 0.0000 0.0000